8
Lattice="-2.036 -3.050 3.011 3.185 1.155 3.323 -2.241 2.435 4.690" Properties=species:S:1:pos:R:3 comment="SiSnC2, optimized geometry, DFT GGA-PBE" dos_at_fermi_per_ev_fu=0.00 relative_energy_ev_per_atom=0.000 raw_formation_energy_ev_per_atom=0.340 total_magnetization_mub_per_fu=0.0 space_group="No. 122" pbc="T T T"
C -1.328 -0.995 3.313
C 1.070 0.790 3.782
C -1.084 1.175 6.066
C -0.841 0.107 8.887
Si 0.575 -0.948 3.167
Si 0.759 1.321 5.590
Sn 0.000 0.000 0.000
Sn -1.851 -0.782 5.434

=====

4
Lattice="2.140 1.145 4.043 -1.383 -1.989 4.046 2.786 -3.130 2.162" Properties=species:S:1:pos:R:3 comment="SiSn2C, optimized geometry, DFT GGA-PBE" dos_at_fermi_per_ev_fu=3.61 relative_energy_ev_per_atom=0.806 raw_formation_energy_ev_per_atom=1.401 total_magnetization_mub_per_fu=0.0 space_group="No. 225" pbc="T T T"
C 0.000 0.000 0.000
Si 1.772 -1.987 5.125
Sn 0.886 -0.993 2.563
Sn 2.657 -2.980 7.688

=====

14
Lattice="6.737 0.000 0.000 0.000 6.741 0.000 -3.369 0.000 7.812" Properties=species:S:1:pos:R:3 comment="Tb4SiSnC, optimized geometry, DFT GGA-PBE" dos_at_fermi_per_ev_fu=0.61 raw_formation_energy_ev_per_atom=-0.561 total_magnetization_mub_per_fu=0.0 space_group="No. 63" pbc="T T T"
Tb 3.369 1.685 6.543
Tb 0.000 5.055 6.409
Tb 0.000 5.055 1.269
Tb 3.369 1.685 1.403
Tb 1.684 3.370 3.906
Tb -1.684 0.000 3.906
Tb 1.684 0.000 3.906
Tb -1.684 3.370 3.906
Si 0.000 1.685 1.812
Si 3.369 5.055 6.000
Sn 3.369 5.055 1.698
Sn 0.000 1.685 6.114
C 0.000 5.055 3.874
C 3.369 1.685 3.938

=====

5
Lattice="5.160 0.000 0.000 0.000 4.017 0.000 0.000 0.000 5.160" Properties=species:S:1:pos:R:3 comment="Ti2SiSnC, optimized geometry, DFT GGA-PBE" dos_at_fermi_per_ev_fu=4.85 raw_formation_energy_ev_per_atom=1.713 total_magnetization_mub_per_fu=1.6 space_group="No. 123" pbc="T T T"
C 0.000 2.008 0.000
Si 2.580 2.008 2.580
Sn 0.000 0.000 0.000
Ti 0.000 0.000 2.580
Ti 2.580 0.000 0.000

=====

14
Lattice="-3.855 -2.330 -4.968 -3.336 -3.830 4.385 -3.129 6.954 3.693" Properties=species:S:1:pos:R:3 comment="Y4SiSnC, optimized geometry, DFT GGA-PBE" dos_at_fermi_per_ev_fu=0.62 raw_formation_energy_ev_per_atom=-0.610 total_magnetization_mub_per_fu=0.0 space_group="No. 63" pbc="T T T"
Y -6.995 2.724 -0.375
Y -6.649 1.876 4.280
Y -3.325 -1.930 3.486
Y -3.671 -1.082 -1.170
Y -5.160 0.397 1.555
Y -1.565 3.477 1.846
Y -3.492 2.312 -0.637
Y -3.232 1.562 4.039
Si -2.001 0.379 1.375
Si -8.319 0.415 1.735
Sn -5.524 -2.784 1.067
Sn -4.796 3.578 2.043
C -5.010 0.000 3.889
C -5.310 0.794 -0.778

=====

5
Lattice="-2.659 -5.050 0.708 2.057 -1.532 -3.200 4.205 -1.720 3.527" Properties=species:S:1:pos:R:3 comment="Y2SiSnC, optimized geometry, DFT GGA-PBE" dos_at_fermi_per_ev_fu=4.89 raw_formation_energy_ev_per_atom=1.023 total_magnetization_mub_per_fu=0.0 space_group="No. 123" pbc="T T T"
Y 2.102 -0.860 1.763
Y -1.330 -2.525 0.354
C 1.029 -0.766 -1.600
Si 1.801 -4.151 0.518
Sn 0.000 0.000 0.000

=====

5
Lattice="-0.304 -2.172 4.804 4.900 1.661 1.061 -1.947 4.518 1.920" Properties=species:S:1:pos:R:3 comment="Sr3SiC, optimized geometry, DFT GGA-PBE" dos_at_fermi_per_ev_fu=7.05 relative_energy_ev_per_atom=0.000 raw_formation_energy_ev_per_atom=0.287 total_magnetization_mub_per_fu=1.6 space_group="No. 221" pbc="T T T"
Sr 2.450 0.830 0.530
Sr -0.974 2.259 0.960
Sr -0.152 -1.086 2.402
Si 1.324 2.003 3.892
C 0.000 0.000 0.000

=====

5
Lattice="4.411 0.000 0.000 0.000 4.411 0.000 0.000 0.000 4.411" Properties=species:S:1:pos:R:3 comment="SrSi3C, optimized geometry, DFT GGA-PBE" dos_at_fermi_per_ev_fu=3.58 relative_energy_ev_per_atom=0.000 raw_formation_energy_ev_per_atom=0.819 total_magnetization_mub_per_fu=0.0 space_group="No. 221" pbc="T T T"
Sr 2.205 2.205 2.205
Si 0.000 2.205 0.000
Si 0.000 0.000 2.205
Si 2.205 0.000 0.000
C 0.000 0.000 0.000

=====

5
Lattice="-1.348 4.706 2.813 2.009 -2.272 4.763 5.102 2.139 -1.133" Properties=species:S:1:pos:R:3 comment="SrSi3C, optimized geometry, DFT GGA-PBE" dos_at_fermi_per_ev_fu=5.21 relative_energy_ev_per_atom=2.194 raw_formation_energy_ev_per_atom=3.013 total_magnetization_mub_per_fu=0.3 space_group="No. 221" pbc="T T T"
Sr 0.000 0.000 0.000
Si 1.005 -1.136 2.381
Si 2.551 1.069 -0.566
Si -0.674 2.353 1.407
C 2.882 2.287 3.222

=====

7
Lattice="4.229 0.000 0.000 2.114 5.707 -0.512 2.114 1.605 5.807" Properties=species:S:1:pos:R:3 comment="Sr2Si2Tc2C, optimized geometry, DFT GGA-PBE" dos_at_fermi_per_ev_fu=4.19 raw_formation_energy_ev_per_atom=-0.357 total_magnetization_mub_per_fu=0.0 space_group="No. 12" pbc="T T T"
Sr 4.229 2.133 3.923
Sr 4.229 5.179 1.372
Si 2.114 2.595 1.261
Si 6.343 4.717 4.034
Tc 4.229 5.418 4.972
Tc 4.229 1.894 0.323
C 0.000 0.000 0.000

=====

5
Lattice="5.383 0.000 0.000 0.000 5.869 0.000 0.000 0.000 5.383" Properties=species:S:1:pos:R:3 comment="SrYSi2C, optimized geometry, DFT GGA-PBE" dos_at_fermi_per_ev_fu=3.95 raw_formation_energy_ev_per_atom=2.691 total_magnetization_mub_per_fu=2.3 space_group="No. 123" pbc="T T T"
Y 0.000 2.934 0.000
Sr 0.000 0.000 0.000
Si 0.000 0.000 2.691
Si 2.691 0.000 0.000
C 2.691 2.934 2.691

=====

5
Lattice="-4.821 -0.456 0.700 -0.521 -1.565 -4.606 0.654 -4.613 1.494" Properties=species:S:1:pos:R:3 comment="TaSi3C, optimized geometry, DFT GGA-PBE" dos_at_fermi_per_ev_fu=5.24 relative_energy_ev_per_atom=1.204 raw_formation_energy_ev_per_atom=2.003 total_magnetization_mub_per_fu=1.9 space_group="No. 221" pbc="T T T"
Si -0.261 -0.783 -2.303
Si 0.327 -2.306 0.747
Si -2.410 -0.228 0.350
C -2.344 -3.317 -1.206
Ta 0.000 0.000 0.000

=====

5
Lattice="-0.025 -3.276 2.716 -1.360 -2.567 -3.109 4.032 -0.886 -1.032" Properties=species:S:1:pos:R:3 comment="Ta3SiC, optimized geometry, DFT GGA-PBE" dos_at_fermi_per_ev_fu=8.35 raw_formation_energy_ev_per_atom=0.010 total_magnetization_mub_per_fu=0.0 space_group="No. 221" pbc="T T T"
Si 1.323 -3.365 -0.713
C 0.000 0.000 0.000
Ta -0.680 -1.283 -1.555
Ta 2.016 -0.443 -0.516
Ta -0.013 -1.638 1.358

=====

5
Lattice="4.029 0.000 0.000 0.000 4.029 0.000 0.000 0.000 4.029" Properties=species:S:1:pos:R:3 comment="TaSi3C, optimized geometry, DFT GGA-PBE" dos_at_fermi_per_ev_fu=2.27 relative_energy_ev_per_atom=0.000 raw_formation_energy_ev_per_atom=0.799 total_magnetization_mub_per_fu=0.0 space_group="No. 221" pbc="T T T"
Si 0.000 2.014 0.000
Si 0.000 0.000 2.014
Si 2.014 0.000 0.000
C 0.000 0.000 0.000
Ta 2.014 2.014 2.014

=====

14
Lattice="3.301 0.000 0.000 -1.651 5.220 0.000 0.000 0.000 11.077" Properties=species:S:1:pos:R:3 comment="Ta4SiC2, optimized geometry, DFT GGA-PBE" dos_at_fermi_per_ev_fu=1.88 raw_formation_energy_ev_per_atom=-0.565 total_magnetization_mub_per_fu=0.0 space_group="No. 63" pbc="T T T"
Ta 1.651 2.789 1.223
Ta 1.651 2.789 4.316
Ta 0.000 2.430 9.855
Ta 0.000 2.430 6.761
Ta 1.651 4.430 8.308
Ta 0.000 0.789 2.769
Ta 1.651 0.000 0.000
Ta 1.651 0.000 5.539
Si 1.651 1.120 8.308
Si 0.000 4.100 2.769
C 0.000 1.426 4.850
C 1.651 3.794 10.389
C 0.000 1.426 0.689
C 1.651 3.794 6.227

=====

5
Lattice="-2.642 -0.974 3.104 2.730 -2.839 1.432 1.770 2.925 2.424" Properties=species:S:1:pos:R:3 comment="TaSiC3, optimized geometry, DFT GGA-PBE" dos_at_fermi_per_ev_fu=3.75 raw_formation_energy_ev_per_atom=2.054 total_magnetization_mub_per_fu=0.0 space_group="No. 221" pbc="T T T"
Si 0.929 -0.445 3.480
C 1.365 -1.420 0.716
C 0.885 1.462 1.212
C -1.321 -0.487 1.552
Ta 0.000 0.000 0.000

=====

10
Lattice="-2.606 -0.207 2.210 0.127 -5.603 -0.376 4.991 -0.280 5.858" Properties=species:S:1:pos:R:3 comment="Ta3SiC, optimized geometry, DFT GGA-PBE" dos_at_fermi_per_ev_fu=3.10 raw_formation_energy_ev_per_atom=-0.260 total_magnetization_mub_per_fu=0.0 space_group="No. 59" pbc="T T T"
Ta -1.417 -4.382 1.895
Ta 3.929 -1.708 5.797
Ta 1.443 -5.941 5.120
Ta 1.379 -3.141 5.308
Ta 1.069 -0.149 2.572
Ta 1.132 -2.949 2.384
Si -1.129 -1.600 2.495
Si 3.641 -4.489 5.197
C 0.199 -4.473 3.792
C 2.313 -1.617 3.901

=====

14
Lattice="3.212 0.000 0.000 0.000 6.863 0.000 0.000 0.000 9.773" Properties=species:S:1:pos:R:3 comment="Ta4Si2C, optimized geometry, DFT GGA-PBE" dos_at_fermi_per_ev_fu=2.49 raw_formation_energy_ev_per_atom=-0.505 total_magnetization_mub_per_fu=0.0 space_group="No. 55" pbc="T T T"
Ta 0.000 4.360 7.805
Ta 0.000 2.503 1.968
Ta 0.000 0.929 6.854
Ta 0.000 5.935 2.919
Ta 1.606 5.553 5.605
Ta 1.606 1.310 4.168
Ta 1.606 4.742 0.718
Ta 1.606 2.122 9.055
Si 1.606 6.383 8.401
Si 1.606 0.481 1.372
Si 1.606 2.951 6.259
Si 1.606 3.912 3.514
C 0.000 0.000 4.886
C 0.000 3.432 0.000

=====

11
Lattice="3.083 0.000 0.000 1.542 7.769 0.017 1.542 3.698 6.832" Properties=species:S:1:pos:R:3 comment="Ta7Si2C2, optimized geometry, DFT GGA-PBE" dos_at_fermi_per_ev_fu=4.81 raw_formation_energy_ev_per_atom=-0.277 total_magnetization_mub_per_fu=0.0 space_group="No. 44" pbc="T T T"
Ta 3.083 1.688 1.928
Ta 4.625 6.479 6.135
Ta 3.083 3.777 6.700
Ta 3.083 4.607 1.888
Ta 3.083 7.620 3.688
Ta 3.083 8.969 6.277
Ta 1.542 2.994 4.053
Si 1.542 6.742 1.736
Si 3.083 5.129 4.437
C 4.625 9.138 4.360
C 1.542 3.295 0.870

=====

16
Lattice="-2.070 2.149 -1.177 -1.052 -4.916 -2.755 -7.309 -2.789 7.766" Properties=species:S:1:pos:R:3 comment="TbTa2SiC4, optimized geometry, DFT GGA-PBE" dos_at_fermi_per_ev_fu=2.16 raw_formation_energy_ev_per_atom=-0.303 total_magnetization_mub_per_fu=0.0 space_group="No. 63" pbc="T T T"
Tb -5.911 -2.882 5.136
Tb -4.520 -2.673 -1.302
Ta -5.484 -4.345 1.713
Ta -1.864 -0.034 -1.155
Ta -4.947 -1.210 2.121
Ta -8.567 -5.521 4.989
Si -7.918 -3.595 2.992
Si -2.514 -1.961 0.842
C -1.967 -2.371 -0.870
C -6.522 -2.443 2.641
C -8.464 -3.184 4.704
C -3.909 -3.112 1.193
C -3.654 -1.394 3.883
C 0.000 0.000 0.000
C -7.263 -5.370 2.971
C -3.168 -0.185 0.863

=====

5
Lattice="4.831 0.000 0.000 0.000 3.959 0.000 0.000 0.000 4.831" Properties=species:S:1:pos:R:3 comment="TaSiTc2C, optimized geometry, DFT GGA-PBE" dos_at_fermi_per_ev_fu=6.12 raw_formation_energy_ev_per_atom=1.943 total_magnetization_mub_per_fu=0.0 space_group="No. 123" pbc="T T T"
C 0.000 1.980 0.000
Si 2.415 1.980 2.415
Tc 0.000 0.000 2.415
Tc 2.415 0.000 0.000
Ta 0.000 0.000 0.000

=====

16
Lattice="-2.215 1.578 1.654 -2.814 -3.671 -3.330 0.517 -7.596 7.936" Properties=species:S:1:pos:R:3 comment="TmTa2SiC4, optimized geometry, DFT GGA-PBE" dos_at_fermi_per_ev_fu=2.16 raw_formation_energy_ev_per_atom=-0.309 total_magnetization_mub_per_fu=0.0 space_group="No. 63" pbc="T T T"
Tm -0.438 -6.304 5.425
Tm -4.074 -3.385 0.836
Ta -2.622 -6.224 2.424
Ta -2.109 -0.256 0.483
Ta -1.890 -3.466 3.837
Ta -2.403 -9.434 5.778
Si -3.375 -6.860 5.085
Si -1.137 -2.830 1.176
C -2.029 -2.440 -0.391
C -2.619 -5.258 4.570
C -2.483 -7.250 6.651
C -1.893 -4.431 1.690
C 0.259 -3.798 3.968
C 0.000 0.000 0.000
C -2.999 -8.186 3.791
C -1.514 -1.504 2.470

=====

16
Lattice="-2.761 -0.507 1.527 3.633 -3.919 1.924 3.159 6.849 7.985" Properties=species:S:1:pos:R:3 comment="UTa2SiC4, optimized geometry, DFT GGA-PBE" dos_at_fermi_per_ev_fu=5.60 raw_formation_energy_ev_per_atom=-0.225 total_magnetization_mub_per_fu=1.6 space_group="No. 63" pbc="T T T"
U 2.844 4.258 6.555
U 1.187 -1.835 4.881
Ta 3.373 0.622 6.305
Ta -0.663 -1.063 1.792
Ta 0.658 1.801 5.131
Ta 4.694 3.486 9.644
Si 2.524 2.040 8.584
Si 1.507 0.383 2.853
C 1.575 -1.392 2.386
C 1.635 2.037 6.977
C 2.456 3.815 9.050
C 2.396 0.386 4.460
C 1.580 3.424 3.993
C 0.000 0.000 0.000
C 4.331 1.504 8.329
C -0.300 0.919 3.107

=====

7
Lattice="4.705 0.000 0.000 0.000 4.705 0.000 -2.353 -2.353 7.591" Properties=species:S:1:pos:R:3 comment="Tb4Si2C, optimized geometry, DFT GGA-PBE" dos_at_fermi_per_ev_fu=1.00 relative_energy_ev_per_atom=0.031 raw_formation_energy_ev_per_atom=-0.502 total_magnetization_mub_per_fu=0.0 space_group="No. 139" pbc="T T T"
Si 2.353 2.353 2.059
Si 0.000 0.000 5.532
Tb 2.353 2.353 5.022
Tb 0.000 0.000 2.569
Tb 0.000 2.353 0.000
Tb 2.353 0.000 0.000
C 0.000 0.000 0.000